Entry 1:
{
  "formula": "Ti5ZnBi2Pb4O18",
  "functional": "PBEsol",
  "state": "relaxed",
  "lattice_angstrom": [[-3.2938, -3.2802, 2.7216], [-0.5348, 0.0734, -5.8894], [10.3070, -9.5070, 1.0155]],
  "species": ["Ti", "O", "O", "O", "O", "Ti", "O", "O", "O", "O", "O", "Pb", "Bi", "Pb", "Ti", "O", "O", "O", "O", "O", "Zn", "O", "Ti", "Ti", "O", "Pb", "Pb", "O", "O", "Bi"],
  "fractional_positions": [[0.6519, 0.3037, 0.4197], [0.1235, 0.7443, 0.6891], [0.9557, 0.4109, 0.5204], [0.1198, 0.2396, 0.6916], [0.7923, 0.0797, 0.8572], [0.3245, 0.6490, 0.0861], [0.6208, 0.7443, 0.6891], [0.4693, 0.4228, 0.0226], [0.4553, 0.4109, 0.5204], [0.9535, 0.4228, 0.0226], [0.7851, 0.5703, 0.8529], [0.3377, 0.6754, 0.8284], [0.3488, 0.6976, 0.3155], [0.0013, 0.0026, 0.4933], [0.3223, 0.6446, 0.5860], [0.2874, 0.0797, 0.8572], [0.7696, 0.0576, 0.3599], [0.4521, 0.9041, 0.5229], [0.6253, 0.7513, 0.1888], [0.1259, 0.7513, 0.1888], [0.0147, 0.0294, 0.2533], [0.1571, 0.3143, 0.1847], [0.9889, 0.9778, 0.7545], [0.6557, 0.3113, 0.9169], [0.7687, 0.5374, 0.3414], [0.0119, 0.0239, 0.0046], [0.6710, 0.3419, 0.6614], [0.4610, 0.9220, 0.0279], [0.2880, 0.0576, 0.3599], [0.6985, 0.3971, 0.1638]],
  "dft_energy_ev_per_atom": -7.57,
  "e_form_raw_ev_per_atom": -2.158,
  "sg": "No. 8"
}

---

Entry 2:
{
  "formula": "V3BiPb3O12",
  "functional": "PBEsol",
  "state": "relaxed",
  "lattice_angstrom": [[-3.5939, -5.0994, 6.8786], [8.0676, -3.7140, -2.7055], [1.4337, 8.6767, 2.9968]],
  "species": ["O", "O", "Pb", "V", "O", "V", "Pb", "O", "O", "O", "O", "O", "O", "Pb", "Bi", "O", "V", "O", "Pb", "O", "O", "Bi", "O", "V", "O", "O", "O", "O", "V", "O", "O", "O", "O", "Pb", "Pb", "O", "V", "O"],
  "fractional_positions": [[0.4156, 0.2015, 0.8461], [0.1421, 0.7192, 0.3071], [0.8425, 0.9973, 0.9980], [0.2490, 0.3735, 0.1261], [0.6392, 0.0635, 0.8388], [0.3665, 0.6218, 0.7439], [0.5000, 0.8435, 0.4983], [0.6601, 0.3086, 0.7313], [0.0866, 0.9353, 0.7640], [0.1920, 0.3369, 0.9147], [0.4288, 0.5773, 0.2687], [0.8536, 0.5785, 0.6592], [0.8519, 0.6787, 0.4107], [0.5018, 0.3452, 0.5017], [0.1637, 0.1642, 0.6657], [0.5846, 0.1626, 0.3561], [0.8796, 0.7498, 0.6203], [0.7285, 0.8064, 0.6439], [0.6520, 0.6529, 0.1518], [0.2268, 0.6610, 0.8099], [0.3004, 0.2248, 0.1612], [0.9981, 0.4986, 0.3343], [0.6944, 0.9193, 0.3408], [0.1226, 0.8779, 0.2561], [0.0695, 0.3553, 0.1539], [0.2686, 0.0823, 0.4435], [0.3350, 0.4121, 0.6929], [0.7773, 0.4222, 0.0853], [0.6229, 0.2474, 0.8739], [0.3251, 0.6388, 0.5565], [0.8226, 0.1713, 0.2360], [0.9413, 0.2680, 0.5893], [0.1609, 0.8542, 0.0852], [0.0001, 0.5011, 0.8482], [0.3445, 0.9993, 0.0020], [0.9168, 0.8510, 0.1901], [0.7593, 0.1296, 0.3797], [0.5757, 0.7689, 0.9148]],
  "dft_energy_ev_per_atom": -7.62,
  "e_form_raw_ev_per_atom": -1.922,
  "sg": "No. 9"
}

---

Entry 3:
{
  "formula": "BiPdO2",
  "functional": "PBEsol",
  "state": "relaxed",
  "lattice_angstrom": [[4.2914, 0.0000, 0.0000], [0.0000, 4.2914, 0.0000], [-2.1457, -2.1457, 6.5750]],
  "species": ["O", "Pd", "O", "Pd", "O", "Bi", "O", "Bi"],
  "fractional_positions": [[0.1250, 0.1630, 0.7500], [0.5000, 0.5000, 0.0000], [0.8370, 0.3750, 0.2500], [0.7500, 0.2500, 0.5000], [0.6250, 0.5870, 0.7500], [0.0000, 0.0000, 0.0000], [0.4130, 0.8750, 0.2500], [0.2500, 0.7500, 0.5000]],
  "dft_energy_ev_per_atom": -5.59,
  "e_form_raw_ev_per_atom": -0.407,
  "sg": "No. 122"
}